(1)
BeAl2Pb: relaxed, GGA-PBE.

Cell: 5.575 5.575 5.575 Å, 138.23 138.23 60.55°
Element x y z (fractional)
Be1 0.250 0.750 0.500
Pb1 0.750 0.250 0.500
Al1 0.000 0.000 0.000
Al2 0.500 0.500 0.000

Calculated values
energy: -3.22 eV/atom
calculated density: 5.897 g/cm³

***

(2)
BeAl2Pb: relaxed, GGA-PBE.

Cell: 4.509 4.509 6.356 Å, 70.51 70.51 40.96°
Element x y z (fractional)
Be1 0.517 0.517 0.634
Al1 0.790 0.790 0.675
Al2 0.003 0.003 0.941
Pb1 0.190 0.190 0.250

Calculated values
energy: -3.40 eV/atom
calculated density: 5.667 g/cm³

***

(3)
Be2Al2Pb: relaxed, GGA-PBE.

Cell: 7.239 7.239 3.173 Å, 90.00 90.00 90.00°
Element x y z (fractional)
Al1 0.331 0.169 0.500
Al2 0.831 0.331 0.500
Al3 0.169 0.669 0.500
Al4 0.669 0.831 0.500
Be1 0.610 0.110 0.000
Be2 0.110 0.390 0.000
Be3 0.390 0.890 0.000
Be4 0.890 0.610 0.000
Pb1 0.500 0.500 0.000
Pb2 0.000 0.000 0.000

Calculated values
energy: -3.28 eV/atom
calculated density: 5.576 g/cm³

***

(4)
Be2AlPb: relaxed, GGA-PBE.

Cell: 6.230 6.230 6.230 Å, 151.04 143.85 46.97°
Element x y z (fractional)
Pb1 0.545 0.545 0.000
Be1 0.771 0.271 0.500
Be2 0.910 0.910 0.000
Al1 0.274 0.774 0.500

Calculated values
energy: -3.23 eV/atom
calculated density: 6.084 g/cm³

***

(5)
Be2Al2Pb: relaxed, GGA-PBE.

Cell: 3.973 3.973 6.253 Å, 71.48 71.48 90.00°
Element x y z (fractional)
Al1 0.378 0.378 0.244
Al2 0.622 0.622 0.756
Be1 0.750 0.250 0.500
Be2 0.250 0.750 0.500
Pb1 0.000 0.000 0.000

Calculated values
energy: -3.30 eV/atom
calculated density: 5.257 g/cm³

***

(6)
BeAlPb: relaxed, GGA-PBE.

Cell: 4.398 4.398 4.398 Å, 60.00 60.00 60.00°
Element x y z (fractional)
Be1 0.750 0.750 0.750
Al1 0.500 0.500 0.500
Pb1 0.000 0.000 0.000

Calculated values
energy: -3.30 eV/atom
calculated density: 6.715 g/cm³

***

(7)
Be2AlPb: relaxed, GGA-PBE.

Cell: 4.214 4.214 3.746 Å, 90.00 90.00 90.00°
Element x y z (fractional)
Be1 0.000 0.000 0.000
Be2 0.500 0.500 0.000
Pb1 0.500 0.000 0.500
Al1 0.000 0.500 0.500

Calculated values
energy: -3.02 eV/atom
calculated density: 6.297 g/cm³

***

(8)
Be2AlPb: relaxed, GGA-PBE.

Cell: 7.085 7.085 5.787 Å, 52.25 52.25 90.00°
Element x y z (fractional)
Al1 0.250 0.750 0.500
Al2 0.500 0.500 0.000
Be1 0.875 0.846 0.750
Be2 0.375 0.404 0.750
Be3 0.154 0.625 0.250
Be4 0.596 0.125 0.250
Pb1 0.750 0.250 0.500
Pb2 0.000 0.000 0.000

Calculated values
energy: -2.91 eV/atom
calculated density: 5.762 g/cm³